LiLa2Rh | PBE-GGA | optimized geometry

a = 4.1560 Å, b = 4.1560 Å, c = 8.8889 Å
α = 76.48°, β = 76.48°, γ = 60.00°
Sites, in units of the cell vectors:
Li: 0.5016 0.5016 0.4953
La: 0.0606 0.0606 0.8182
La: 0.2721 0.2721 0.1837
Rh: 0.6657 0.6657 0.0029

Output
ΔE_f (eV/atom): -0.3586